Record 1
Below is a geometry-optimized CaAc2Ce3Te6 structure, with properties calculated at the GGA-PBE level. Values from VASP.

## Properties
Uncorrected formation energy (eV per atom): -1.43
VASP energy (eV/atom): -5.339
D(E_F) (states/eV/f.u.): 23.56
Magnetization (Bohr magnetons per cell): 3.839

```
&SYSTEM
  ibrav = 0, nat = 12, ntyp = 4
/
ATOMIC_SPECIES
Ca 40.08 Ca.upf
Ac 227.00 Ac.upf
Ce 140.12 Ce.upf
Te 127.60 Te.upf
ATOMIC_POSITIONS angstrom
Ca 0.000 0.000 0.000
Ac 5.172 0.000 5.963
Ac 12.638 0.000 3.006
Ce -1.125 0.000 4.485
Ce 6.246 0.000 1.493
Ce 11.564 0.000 7.476
Te 3.115 0.000 0.641
Te 1.932 0.000 5.303
Te 9.400 0.000 2.189
Te 8.410 0.000 6.780
Te 15.879 0.000 3.666
Te 14.695 0.000 8.328
CELL_PARAMETERS angstrom
10.030 -2.276 0.000
10.030 2.276 0.000
-2.250 0.000 8.969
```

Record 2
Below is a geometry-optimized TaTc structure, with properties calculated at the GGA-PBE level. Values from VASP.

## Properties
VASP energy (eV/atom): -11.389
D(E_F) (states/eV/f.u.): 0.98
Magnetization (Bohr magnetons per cell): 0.000
DFT formation energy (eV per atom): -0.280

```
&SYSTEM
  ibrav = 0, nat = 6, ntyp = 2
/
ATOMIC_SPECIES
Ta 180.95 Ta.upf
Tc 98.00 Tc.upf
ATOMIC_POSITIONS angstrom
Ta 0.000 0.000 0.000
Ta -0.945 0.000 3.075
Ta 6.260 0.000 2.056
Tc 2.117 0.000 4.058
Tc 3.126 0.000 1.039
Tc 5.112 0.000 5.046
CELL_PARAMETERS angstrom
5.084 -1.596 0.000
5.084 1.596 0.000
-1.994 0.000 6.029
```

Record 3
Below is a geometry-optimized SrTlO2F structure, with properties calculated at the GGA-PBE level. Values from VASP.

## Properties
Uncorrected formation energy (eV per atom): -1.27
VASP energy (eV/atom): -4.441
D(E_F) (states/eV/f.u.): 4.61
Magnetization (Bohr magnetons per cell): 0.065

```
&SYSTEM
  ibrav = 0, nat = 5, ntyp = 4
/
ATOMIC_SPECIES
Sr 87.62 Sr.upf
Tl 204.38 Tl.upf
O 16.00 O.upf
F 19.00 F.upf
ATOMIC_POSITIONS angstrom
Sr 0.000 0.000 0.000
Tl 2.370 2.370 2.356
O 0.000 2.370 0.000
O 2.370 0.000 0.000
F 0.000 0.000 2.356
CELL_PARAMETERS angstrom
4.740 0.000 0.000
0.000 4.740 0.000
0.000 0.000 4.712
```

Record 4
Below is a geometry-optimized CuSn2N2 structure, with properties calculated at the GGA-PBE level. Values from VASP.

## Properties
Uncorrected formation energy (eV per atom): 0.13
VASP energy (eV/atom): -5.618
D(E_F) (states/eV/f.u.): 1.07
Magnetization (Bohr magnetons per cell): 0.000

```
&SYSTEM
  ibrav = 0, nat = 5, ntyp = 3
/
ATOMIC_SPECIES
Cu 63.55 Cu.upf
Sn 118.71 Sn.upf
N 14.01 N.upf
ATOMIC_POSITIONS angstrom
Cu 0.000 0.000 0.000
Sn 2.147 0.000 9.112
Sn 2.342 0.000 1.637
N -0.058 0.000 4.817
N 4.547 0.000 5.931
CELL_PARAMETERS angstrom
2.336 -2.335 0.000
2.336 2.335 0.000
-0.182 0.000 10.749
```

Record 5
Below is a geometry-optimized Tl2AsW structure, with properties calculated at the GGA-PBE level. Values from VASP.

## Properties
Relative energy among the computed polymorphs (kJ/mol of atoms): 52.02
VASP energy (eV/atom): -4.708
D(E_F) (states/eV/f.u.): 2.86
Magnetization (Bohr magnetons per cell): 0.000
DFT formation energy (eV per atom): 0.876

```
&SYSTEM
  ibrav = 0, nat = 4, ntyp = 3
/
ATOMIC_SPECIES
Tl 204.38 Tl.upf
As 74.92 As.upf
W 183.84 W.upf
ATOMIC_POSITIONS angstrom
Tl 0.000 0.000 7.758
Tl 0.000 0.000 23.737
As 0.000 0.000 0.000
W 0.000 0.000 15.748
CELL_PARAMETERS angstrom
1.542 0.890 10.498
-1.542 0.890 10.498
0.000 -1.781 10.498
```